# 1
This record from the Alexandria database describes a relaxed AcPmAgBi crystal. The functional is PBE.

The structure belongs to space group F-43m (No. 216); the cell edges are 7.929, 7.929 and 7.929 Å and the angles 90.00°, 90.00° and 90.00°. The distinct sites, in fractional coordinates, are Ac at (0.000, 0.000, 0.000), Pm at (0.000, 0.000, 0.500), Ag at (0.250, 0.250, 0.250) and Bi at (0.250, 0.250, 0.750).

The total energy is -4.349 eV per atom. For the energy of formation, the calculation gives -0.451 eV/atom.

***

# 2
This record from the Alexandria database describes a relaxed KZnFe2 crystal. The functional is PBE.

The structure belongs to space group P2/m (No. 10); the cell edges are 2.819, 4.440 and 6.891 Å and the angles 90.00°, 98.08° and 90.00°. The distinct sites, in fractional coordinates, are K at (0.000, 0.000, 0.000), Zn at (0.500, 0.000, 0.500) and Fe at (0.268, 0.500, 0.632).

The total energy is -4.208 eV per atom. For the energy of formation, the calculation gives 0.616 eV/atom.

***

# 3
This record from the Alexandria database describes a relaxed MgPa2Bi3 crystal. The functional is PBE.

The structure belongs to space group P-4m2 (No. 115); the cell edges are 4.432, 4.432 and 8.860 Å and the angles 90.00°, 90.00° and 90.00°. The distinct sites, in fractional coordinates, are Mg at (0.000, 0.000, 0.000), Pa at (0.000, 0.500, 0.709), Bi at (0.000, 0.500, 0.343) and Bi at (0.500, 0.500, 0.000).

The total energy is -5.510 eV per atom. For the energy of formation, the calculation gives -0.138 eV/atom.

***

# 4
This record from the Alexandria database describes a relaxed MnTl2Cd crystal. The functional is PBE.

The structure belongs to space group C2/m (No. 12); the cell edges are 9.455, 3.391 and 6.098 Å and the angles 90.00°, 100.51° and 90.00°. The distinct sites, in fractional coordinates, are Mn at (0.000, 0.000, 0.000), Tl at (0.246, 0.500, 0.233) and Cd at (0.000, 0.500, 0.500).

The total energy is -3.348 eV per atom. The value obtained for the excess energy over the best structure of this formula in the dataset is 0.088 eV per atom. For the energy of formation, the calculation gives 0.356 eV/atom.

***

# 5
This record from the Alexandria database describes a relaxed AlZn2Se crystal. The functional is PBE.

The structure belongs to space group Immm (No. 71); the cell edges are 3.665, 3.771 and 11.302 Å and the angles 90.00°, 90.00° and 90.00°. The distinct sites, in fractional coordinates, are Al at (0.000, 0.000, 0.000), Zn at (0.000, 0.500, 0.251) and Se at (0.000, 0.000, 0.500).

The total energy is -2.409 eV per atom. The value obtained for the excess energy over the best structure of this formula in the dataset is 0.177 eV per atom. The formation energy without anion corrections is 0.04 eV per atom.

***

# 6
This record from the Alexandria database describes a relaxed RbGeAs2 crystal. The functional is PBE.

The structure belongs to space group R-3m (No. 166, hexagonal axes); the cell edges are 3.7457, 3.7457 and 25.9554 Å and the angles 90.00°, 90.00° and 120.00°. The distinct sites, in fractional coordinates, are Rb at (0.0000, 0.0000, 0.0000), Ge at (0.0000, 0.0000, 0.5000) and As at (0.0000, 0.0000, 0.2260).

The total energy is -3.666 eV per atom. For the energy of formation, the calculation gives 0.055 eV/atom.